1.
PBE-GGA K2PuSnCl6, relaxed; crystal system = monoclinic; E_tot = -95.6 eV per cell; total magnetization = 12.0 μB/cell
1.0
7.471 0.000 0.000
0.000 7.943 0.000
-7.293 0.000 10.782
K Pu Sn Cl
4 2 2 12
Cartesian
-0.160 0.584 2.667 K
-3.807 3.387 8.058 K
3.985 4.556 2.724 K
0.339 7.359 8.115 K
3.736 0.000 0.000 Pu
0.089 3.972 5.391 Pu
-3.646 0.000 5.391 Sn
0.000 3.972 0.000 Sn
-5.819 1.536 10.133 Cl
-2.172 2.436 4.742 Cl
-4.978 5.607 10.083 Cl
-1.332 6.308 4.691 Cl
-2.694 0.374 8.125 Cl
0.953 3.598 2.734 Cl
-0.774 4.345 8.048 Cl
2.872 7.570 2.657 Cl
1.510 1.635 6.091 Cl
5.157 2.336 0.700 Cl
2.351 5.507 6.040 Cl
5.997 6.408 0.649 Cl

***

2.
PBE-GGA KPuSnCl6, relaxed; crystal system = tetragonal; E_tot = -90.1 eV per cell; total magnetization = 10.0 μB/cell
1.0
6.786 0.000 0.000
0.000 6.786 0.000
0.000 0.000 13.234
K Pu Sn Cl
2 2 2 12
Cartesian
0.000 0.000 0.000 K
3.393 3.393 6.617 K
0.000 0.000 4.423 Pu
3.393 3.393 11.040 Pu
0.000 0.000 8.840 Sn
3.393 3.393 2.223 Sn
1.205 1.205 6.584 Cl
1.362 1.362 2.478 Cl
1.468 1.468 10.887 Cl
1.925 4.861 4.270 Cl
2.031 4.755 9.094 Cl
2.188 4.598 13.200 Cl
4.598 2.188 13.200 Cl
4.755 2.031 9.094 Cl
4.861 1.925 4.270 Cl
5.318 5.318 10.887 Cl
5.424 5.424 2.478 Cl
5.581 5.581 6.584 Cl

***

3.
PBE-GGA KPuTl2Cl6, relaxed; crystal system = monoclinic; E_tot = -94.3 eV per cell; total magnetization = 10.0 μB/cell
1.0
7.540 0.000 0.000
0.000 8.186 0.000
-7.156 0.000 10.917
K Pu Tl Cl
2 2 4 12
Cartesian
0.000 0.000 0.000 K
-3.578 4.093 5.459 K
0.192 0.000 5.459 Pu
3.770 4.093 0.000 Pu
-3.675 0.567 8.077 Tl
-0.097 3.526 2.618 Tl
0.481 4.660 8.300 Tl
4.059 7.619 2.841 Tl
-2.054 1.436 4.904 Cl
-5.632 2.657 10.363 Cl
-1.090 5.901 4.668 Cl
-4.667 6.377 10.127 Cl
1.073 0.498 2.922 Cl
-2.505 3.595 8.381 Cl
2.888 4.591 2.537 Cl
-0.690 7.687 7.995 Cl
5.051 1.809 0.790 Cl
1.473 2.284 6.249 Cl
6.016 5.528 0.554 Cl
2.438 6.750 6.013 Cl

***

4.
PBE-GGA KPuTlCl6, relaxed; crystal system = trigonal; E_tot = -87.3 eV per cell; total magnetization = 8.0 μB/cell
1.0
7.704 0.000 0.000
-3.852 6.672 0.000
0.000 0.000 12.660
K Pu Tl Cl
2 2 2 12
Cartesian
0.000 4.448 3.165 K
3.852 2.224 9.495 K
0.000 4.448 9.495 Pu
3.852 2.224 3.165 Pu
0.000 0.000 0.000 Tl
0.000 0.000 6.330 Tl
-1.075 2.595 8.005 Cl
-2.142 4.444 10.984 Cl
1.075 2.595 10.984 Cl
-1.068 6.305 8.005 Cl
2.784 0.367 1.675 Cl
1.710 2.228 4.655 Cl
2.142 4.444 8.005 Cl
1.068 6.305 10.984 Cl
4.920 0.367 4.655 Cl
2.777 4.077 1.675 Cl
5.994 2.228 1.675 Cl
4.927 4.077 4.655 Cl

***

5.
PBE-GGA K2PuTlCl6, relaxed; crystal system = monoclinic; E_tot = -95.5 eV per cell; total magnetization = 10.0 μB/cell
1.0
7.588 0.000 0.000
0.000 8.128 0.000
-7.461 0.000 10.967
K Pu Tl Cl
4 2 2 12
Cartesian
-0.199 0.616 2.719 K
-3.930 3.447 8.203 K
4.057 4.680 2.764 K
0.327 7.511 8.247 K
3.794 0.000 0.000 Pu
0.064 4.064 5.483 Pu
-3.730 0.000 5.483 Tl
0.000 4.064 0.000 Tl
-5.837 1.458 10.228 Cl
-2.107 2.605 4.744 Cl
-4.929 5.855 10.113 Cl
-1.199 6.336 4.630 Cl
-2.640 0.536 8.488 Cl
1.091 3.528 3.004 Cl
-0.964 4.599 7.962 Cl
2.767 7.592 2.479 Cl
1.326 1.792 6.336 Cl
5.057 2.272 0.853 Cl
2.234 5.522 6.222 Cl
5.964 6.669 0.739 Cl

***

6.
PBE-GGA KPu2TlCl8, relaxed; crystal system = monoclinic; E_tot = -68.1 eV per cell; total magnetization = 10.0 μB/cell
1.0
6.855 0.000 0.000
0.000 8.585 0.000
-0.286 0.000 7.193
K Pu Tl Cl
1 2 1 8
Cartesian
0.000 0.000 0.000 K
3.284 2.141 3.596 Pu
3.284 6.445 3.596 Pu
0.000 4.293 0.000 Tl
1.781 2.119 1.402 Cl
1.781 6.466 1.402 Cl
1.811 0.000 4.587 Cl
1.813 4.293 4.561 Cl
4.758 0.000 2.606 Cl
4.756 4.293 2.632 Cl
4.787 2.119 5.791 Cl
4.787 6.466 5.791 Cl

***

7.
PBE-GGA KPu2VCl8, relaxed; crystal system = monoclinic; E_tot = -73.9 eV per cell; total magnetization = 14.0 μB/cell
1.0
6.335 0.000 0.000
0.000 8.534 0.000
-0.155 0.000 6.474
K Pu V Cl
1 2 1 8
Cartesian
0.000 0.000 0.000 K
3.090 2.228 3.237 Pu
3.090 6.306 3.237 Pu
0.000 4.267 0.000 V
1.403 2.516 1.057 Cl
1.403 6.018 1.057 Cl
1.485 4.267 4.438 Cl
1.625 0.000 4.065 Cl
4.554 0.000 2.409 Cl
4.695 4.267 2.036 Cl
4.777 2.516 5.417 Cl
4.777 6.018 5.417 Cl

***

8.
PBE-GGA KYPuCl6, relaxed; crystal system = trigonal; E_tot = -103.0 eV per cell; total magnetization = 12.0 μB/cell
1.0
7.160 0.000 0.000
-3.580 6.201 0.000
0.000 0.000 13.738
K Y Pu Cl
2 2 2 12
Cartesian
0.000 0.000 0.000 K
0.000 0.000 6.869 K
0.000 4.134 3.434 Y
3.580 2.067 10.303 Y
0.000 4.134 10.303 Pu
3.580 2.067 3.434 Pu
-1.209 2.306 1.897 Cl
-2.187 4.000 4.971 Cl
1.209 2.306 4.971 Cl
-0.978 6.095 1.897 Cl
2.602 0.106 8.766 Cl
1.393 2.200 11.840 Cl
2.187 4.000 1.897 Cl
0.978 6.095 4.971 Cl
4.558 0.106 11.840 Cl
2.371 3.894 8.766 Cl
5.767 2.200 8.766 Cl
4.789 3.894 11.840 Cl

***

9.
PBE-GGA K5Rb3Cl12, relaxed; crystal system = cubic; E_tot = -228.9 eV per cell; total magnetization = 16.0 μB/cell
1.0
-9.343 9.343 9.343
9.343 -9.343 9.343
9.343 9.343 -9.343
K Rb Cl
20 12 48
Cartesian
0.000 0.000 0.000 K
4.671 4.671 -4.671 K
4.671 -4.671 4.671 K
9.343 0.000 0.000 K
14.014 2.336 0.000 K
9.343 -4.671 7.007 K
7.007 9.343 -4.671 K
7.007 0.000 4.671 K
4.671 7.007 0.000 K
9.343 4.671 2.336 K
-4.671 4.671 4.671 K
0.000 9.343 0.000 K
0.000 0.000 9.343 K
4.671 4.671 4.671 K
0.000 4.671 7.007 K
4.671 2.336 9.343 K
2.336 9.343 4.671 K
2.336 0.000 14.014 K
0.000 14.014 2.336 K
-4.671 7.007 9.343 K
4.671 2.336 0.000 Rb
9.343 4.671 -2.336 Rb
2.336 0.000 4.671 Rb
11.678 0.000 4.671 Rb
0.000 4.671 2.336 Rb
4.671 -2.336 9.343 Rb
4.671 11.678 0.000 Rb
9.343 4.671 7.007 Rb
-2.336 9.343 4.671 Rb
7.007 9.343 4.671 Rb
0.000 4.671 11.678 Rb
4.671 7.007 9.343 Rb
3.051 -0.257 1.467 Cl
10.963 6.139 -4.928 Cl
9.086 -1.467 3.051 Cl
14.271 -1.621 3.204 Cl
12.393 0.257 1.467 Cl
10.963 -3.204 4.928 Cl
1.467 3.051 -0.257 Cl
12.547 4.415 -1.621 Cl
6.139 4.928 -1.621 Cl
7.875 3.051 0.257 Cl
-0.257 1.467 3.051 Cl
4.928 -1.621 6.139 Cl
9.086 7.875 -3.051 Cl
4.928 1.621 3.204 Cl
7.875 -3.051 9.086 Cl
6.139 -4.928 10.963 Cl
3.204 4.928 1.621 Cl
10.810 6.292 0.257 Cl
3.051 9.086 -1.467 Cl
10.963 3.204 4.415 Cl
4.928 10.963 -3.204 Cl
9.086 1.467 6.292 Cl
1.621 3.204 4.928 Cl
3.051 0.257 7.875 Cl
6.292 9.086 1.467 Cl
7.722 6.139 4.415 Cl
0.257 7.875 3.051 Cl
4.415 -1.621 12.547 Cl
-1.621 6.139 4.928 Cl
6.292 0.257 10.810 Cl
-1.467 3.051 9.086 Cl
6.139 4.415 7.722 Cl
3.204 14.271 -1.621 Cl
1.467 12.393 0.257 Cl
4.415 7.722 6.139 Cl
0.257 1.467 12.393 Cl
4.415 10.963 3.204 Cl
9.599 7.875 6.292 Cl
1.467 6.292 9.086 Cl
3.204 4.415 10.963 Cl
-3.204 4.928 10.963 Cl
7.875 6.292 9.599 Cl
-1.621 12.547 4.415 Cl
-3.051 9.086 7.875 Cl
-4.928 10.963 6.139 Cl
0.257 10.810 6.292 Cl
-1.621 3.204 14.271 Cl
6.292 9.599 7.875 Cl

***

10.
PBE-GGA KRbCl2, relaxed; crystal system = tetragonal; E_tot = -52.8 eV per cell; total magnetization = 0.0 μB/cell; relative energy among the computed polymorphs = 90 meV per atom
1.0
7.320 0.000 0.000
0.000 7.320 0.000
0.000 0.000 14.147
K Rb Cl
4 4 8
Cartesian
0.000 0.000 0.000 K
0.000 3.660 3.537 K
3.660 0.000 10.611 K
3.660 3.660 7.074 K
0.000 0.000 7.074 Rb
0.000 3.660 10.611 Rb
3.660 0.000 3.537 Rb
3.660 3.660 0.000 Rb
1.706 1.830 1.768 Cl
1.830 5.366 5.305 Cl
1.830 5.615 12.379 Cl
1.954 1.830 8.842 Cl
5.366 5.490 8.842 Cl
5.490 1.706 12.379 Cl
5.490 1.954 5.305 Cl
5.615 5.490 1.768 Cl

***

11.
PBE-GGA KRbCl3, relaxed; crystal system = cubic; E_tot = -13.4 eV per cell; total magnetization = 1.0 μB/cell; relative energy among the computed polymorphs = 101 meV per atom
1.0
6.143 0.000 0.000
0.000 6.143 0.000
0.000 0.000 6.143
K Rb Cl
1 1 3
Cartesian
0.000 0.000 0.000 K
3.071 3.071 3.071 Rb
0.000 3.071 3.071 Cl
3.071 0.000 3.071 Cl
3.071 3.071 0.000 Cl

***

12.
PBE-GGA KRbCl2, relaxed; crystal system = trigonal; E_tot = -40.6 eV per cell; total magnetization = 0.0 μB/cell; relative energy among the computed polymorphs = 0 meV per atom
1.0
4.615 0.000 0.000
-2.307 3.996 0.000
0.000 0.000 22.679
K Rb Cl
3 3 6
Cartesian
0.000 0.000 0.000 K
0.000 2.664 15.119 K
2.307 1.332 7.559 K
0.000 0.000 11.339 Rb
0.000 2.664 3.780 Rb
2.307 1.332 18.899 Rb
0.000 0.000 5.760 Cl
0.000 0.000 16.919 Cl
0.000 2.664 9.359 Cl
0.000 2.664 20.879 Cl
2.307 1.332 1.800 Cl
2.307 1.332 13.319 Cl

***

13.
PBE-GGA KRbCl3, relaxed; crystal system = cubic; E_tot = -13.9 eV per cell; total magnetization = 1.0 μB/cell; relative energy among the computed polymorphs = 0 meV per atom
1.0
5.922 0.000 0.000
0.000 5.922 0.000
0.000 0.000 5.922
K Rb Cl
1 1 3
Cartesian
0.000 0.000 0.000 K
2.961 2.961 2.961 Rb
0.000 0.000 2.961 Cl
0.000 2.961 0.000 Cl
2.961 0.000 0.000 Cl

***

14.
PBE-GGA K5Rb4Cl, relaxed; crystal system = tetragonal; E_tot = -14.6 eV per cell; total magnetization = 0.0 μB/cell
1.0
-7.286 7.286 3.367
7.286 -7.286 3.367
7.286 7.286 -3.367
K Rb Cl
5 4 1
Cartesian
0.000 0.000 0.000 K
4.984 4.984 0.000 K
2.302 -2.302 3.367 K
-2.302 2.302 3.367 K
2.302 2.302 3.367 K
4.813 0.000 0.000 Rb
9.759 0.000 0.000 Rb
0.000 4.813 0.000 Rb
0.000 9.759 0.000 Rb
0.000 0.000 3.367 Cl

***

15.
PBE-GGA KRbCl2, relaxed; crystal system = trigonal; E_tot = -40.3 eV per cell; total magnetization = 0.2 μB/cell; relative energy among the computed polymorphs = 33 meV per atom
1.0
4.521 0.000 0.000
-2.261 3.915 0.000
0.000 0.000 23.774
K Rb Cl
3 3 6
Cartesian
0.000 0.000 0.000 K
0.000 2.610 15.849 K
2.261 1.305 7.925 K
0.000 0.000 19.767 Rb
0.000 2.610 11.843 Rb
2.261 1.305 3.918 Rb
0.000 0.000 5.978 Cl
0.000 0.000 9.819 Cl
0.000 2.610 1.894 Cl
0.000 2.610 21.828 Cl
2.261 1.305 13.903 Cl
2.261 1.305 17.744 Cl

***

16.
PBE-GGA KRb2Cl2, relaxed; crystal system = tetragonal; E_tot = -27.0 eV per cell; total magnetization = 0.0 μB/cell; relative energy among the computed polymorphs = 53 meV per atom
1.0
6.078 0.000 0.000
0.000 6.078 0.000
0.000 0.000 14.950
K Rb Cl
2 4 4
Cartesian
0.000 0.000 0.000 K
3.039 3.039 7.475 K
0.000 0.000 4.765 Rb
0.000 0.000 10.186 Rb
3.039 3.039 2.711 Rb
3.039 3.039 12.240 Rb
0.000 3.039 3.738 Cl
0.000 3.039 11.213 Cl
3.039 0.000 3.738 Cl
3.039 0.000 11.213 Cl

***

17.
PBE-GGA KRbCl2, relaxed; crystal system = trigonal; E_tot = -37.6 eV per cell; total magnetization = 0.0 μB/cell; relative energy among the computed polymorphs = 254 meV per atom
1.0
5.011 0.000 0.000
-2.505 4.339 0.000
0.000 0.000 27.548
K Rb Cl
3 3 6
Cartesian
0.000 0.000 0.000 K
0.000 2.893 18.366 K
2.505 1.446 9.183 K
0.000 0.000 13.774 Rb
0.000 2.893 4.591 Rb
2.505 1.446 22.957 Rb
0.000 0.000 2.831 Cl
0.000 0.000 24.717 Cl
0.000 2.893 15.534 Cl
0.000 2.893 21.197 Cl
2.505 1.446 6.352 Cl
2.505 1.446 12.014 Cl

***

18.
PBE-GGA KRbCl, relaxed; crystal system = monoclinic; E_tot = -30.0 eV per cell; total magnetization = 0.0 μB/cell; relative energy among the computed polymorphs = 42 meV per atom
1.0
10.096 0.000 0.000
0.000 4.724 0.000
-0.803 0.000 13.855
K Rb Cl
4 4 4
Cartesian
1.128 0.000 5.436 K
3.116 2.362 8.419 K
6.176 2.362 5.436 K
8.164 0.000 8.419 K
0.595 2.362 11.934 Rb
3.650 0.000 1.921 Rb
5.643 0.000 11.934 Rb
8.698 2.362 1.921 Rb
1.138 0.000 8.593 Cl
3.106 2.362 5.262 Cl
6.186 2.362 8.593 Cl
8.154 0.000 5.262 Cl